VASP calculation (PBE-GGA) on a relaxed Tb7Dy3Tl2 crystal.

a b c (Å): 5.6223 3.6159 18.4338
angles (deg): 90.00 93.74 90.00
Space group P2/m (No. 10)
One atom of each set of equivalent atoms:
Tb  0.0000  0.0000  0.0000
Tb  0.1680  0.5000  0.1717
Tb  0.2585  0.5000  0.5404
Tb  0.3345  0.0000  0.8519
Dy  0.2223  0.0000  0.3664
Dy  0.5000  0.5000  0.0000
Tl  0.2975  0.5000  0.7072

Values from the calculation:
ρ	8.9	g cm⁻³
energy relative to the elements	-17	meV/atom
E_tot	-4.263	eV/atom
DOS(E_F)	12.66	states/eV/cell